{"formula": "Ce3AlO7", "functional": "GGA-PBE", "state": "relaxed", "lattice": [[6.4760, 0.0666, 0.0000], [-2.1804, 6.0983, 0.0000], [0.0000, 0.0000, 7.4484]], "species": ["O", "O", "O", "O", "O", "O", "O", "O", "O", "O", "O", "O", "O", "O", "Ce", "Ce", "Ce", "Ce", "Ce", "Ce", "Al", "Al"], "fractional_positions": [[0.6294, 0.3706, 0.7500], [0.9366, 0.0634, 0.2500], [0.0778, 0.3248, 0.5282], [0.3670, 0.6330, 0.7500], [0.9225, 0.6754, 0.4716], [0.3246, 0.0775, 0.0284], [0.6752, 0.9222, 0.9718], [0.0634, 0.9366, 0.7500], [0.3706, 0.6294, 0.2500], [0.6754, 0.9225, 0.5284], [0.3248, 0.0778, 0.4718], [0.0775, 0.3246, 0.9716], [0.9222, 0.6752, 0.0282], [0.6330, 0.3670, 0.2500], [0.4639, 0.9995, 0.7501], [0.5002, 0.5002, 0.0000], [0.9995, 0.4639, 0.2499], [0.5361, 0.0005, 0.2501], [0.0005, 0.5361, 0.7499], [0.4998, 0.4998, 0.5000], [0.0000, 0.0000, 0.0000], [0.0000, 0.0000, 0.5000]], "final_energy_ev_per_cell": -184.271, "m_tot_mub_per_fu": 1.16, "space_group": "Cmcm"}


{"formula": "Dy6Co2Sb", "functional": "GGA-PBE", "state": "relaxed", "lattice": [[8.3798, 0.0195, -0.0325], [-3.1569, 7.7625, 0.0325], [-2.8258, -3.7471, 6.9424]], "species": ["Dy", "Dy", "Dy", "Dy", "Dy", "Dy", "Dy", "Dy", "Dy", "Dy", "Dy", "Dy", "Co", "Co", "Co", "Co", "Sb", "Sb"], "fractional_positions": [[0.3161, 0.6406, 0.3245], [0.5324, 0.7158, 0.8166], [0.3161, 0.9916, 0.6755], [0.2062, 0.2356, 0.4418], [0.6839, 0.0084, 0.3245], [0.6839, 0.3594, 0.6755], [0.7938, 0.7644, 0.5582], [0.8992, 0.7158, 0.1834], [0.2062, 0.7644, 0.9706], [0.7938, 0.2356, 0.0294], [0.1008, 0.2842, 0.8166], [0.4676, 0.2842, 0.1834], [0.6571, 0.0000, 0.6571], [0.3429, 0.0000, 0.3429], [0.5000, 0.3881, 0.8881], [0.5000, 0.6119, 0.1119], [0.0000, 0.0000, 0.0000], [0.0000, 0.5000, 0.5000]], "final_energy_ev_per_cell": -98.591, "m_tot_mub_per_fu": 0.00, "space_group": "Immm"}


{"formula": "Sr2Pm4C", "functional": "GGA-PBE", "state": "relaxed", "lattice": [[-3.0201, 2.6514, -3.3165], [-3.6729, -3.6733, 0.4080], [-7.3218, 4.2925, 6.0057]], "species": ["Sr", "Sr", "Pm", "Pm", "Pm", "Pm", "C"], "fractional_positions": [[0.3258, 0.3258, 0.3484], [0.6742, 0.6742, 0.6516], [0.0000, 0.5000, 0.0000], [0.5000, 0.0000, 0.0000], [0.1222, 0.1222, 0.7556], [0.8778, 0.8778, 0.2444], [0.0000, 0.0000, 0.0000]], "final_energy_ev_per_cell": -30.470, "formation_enthalpy_0k_ev_per_fu": 1.12, "m_tot_mub_per_fu": 0.00, "space_group": "I4/mmm"}


no.,density of states at the Fermi level (states/eV per cell)
1,20.2
2,12.6
3,12.7